--- 1 ---
## AgP2PtO (PBE)

Data for crystalline AgP2PtO at its relaxed geometry.

abc: 4.8977 4.8977 3.7571
angles: 90.00 90.00 90.00
Sites, in units of the cell vectors:
Ag 0.0000 0.0000 0.0000
P 0.0000 0.5000 0.5000
P 0.5000 0.0000 0.5000
Pt 0.5000 0.5000 0.5000
O 0.5000 0.5000 0.0000

Calculated values
V: 90.1 Å³/cell
magnetic moment: 0.10 μB/atom



--- 2 ---
## AgP2PtO (PBE)

Data for crystalline AgP2PtO at its relaxed geometry.

abc: 4.7900 4.7900 3.8112
angles: 90.00 90.00 90.00
Sites, in units of the cell vectors:
Ag 0.0000 0.0000 0.0000
P 0.0000 0.5000 0.0000
P 0.5000 0.0000 0.0000
Pt 0.5000 0.5000 0.5000
O 0.0000 0.0000 0.5000

Calculated values
V: 87.4 Å³/cell
magnetic moment: 0.01 μB/atom



The calculated energies rank the structures as follows, beginning with the most stable: 1, 2.



--- 1 ---
## ReAgPO2 (PBE)

Data for crystalline ReAgPO2 at its relaxed geometry.

abc: 3.7766 3.7766 5.1420
angles: 90.00 90.00 90.00
Sites, in units of the cell vectors:
Re 0.0000 0.0000 0.0000
Ag 0.5000 0.5000 0.5000
P 0.0000 0.0000 0.5000
O 0.0000 0.5000 0.0000
O 0.5000 0.0000 0.0000

Calculated values
V: 73.3 Å³/cell
magnetic moment: 0.00 μB/atom



--- 2 ---
## ReAgPO2 (PBE)

Data for crystalline ReAgPO2 at its relaxed geometry.

abc: 3.9153 3.9153 5.0072
angles: 90.00 90.00 90.00
Sites, in units of the cell vectors:
Re 0.0000 0.0000 0.0000
Ag 0.5000 0.5000 0.5000
P 0.5000 0.5000 0.0000
O 0.0000 0.5000 0.5000
O 0.5000 0.0000 0.5000

Calculated values
V: 76.8 Å³/cell
magnetic moment: 0.67 μB/atom



The calculated energies rank the structures as follows, beginning with the most stable: 1, 2.